Computed, not measured: a relaxed CsZr6CI14 crystal at the PBE level of DFT.

a = 11.0557 Å, b = 11.0557 Å, c = 13.1874 Å
α = 90.00°, β = 90.00°, γ = 86.55°
With the nearest neighbours (Å) after each atom.
Fractional coordinates of all 44 atoms:
1 C 0.0000 0.0000 0.0000  6 Zr 2.26-2.36
2 C 0.5000 0.5000 0.5000  6 Zr 2.26-2.36
3 Cs 0.5000 0.5000 0.0000  8 I 3.92-4.12
4 Cs 0.0000 0.0000 0.5000  8 I 3.92-4.12
5 I 0.2498 0.2498 0.0000  2 Zr 2.89
6 I 0.7502 0.7502 0.0000  2 Zr 2.89
7 I 0.1068 0.6444 0.0075  2 Zr 2.89-2.93
8 I 0.3556 0.8932 0.0075  2 Zr 2.89-2.93
9 I 0.6497 0.3503 0.2425  2 Zr 2.94
10 I 0.0350 0.2120 0.2462  2 Zr 2.89-2.92
11 I 0.7880 0.9650 0.2462  2 Zr 2.89-2.92
12 I 0.3922 0.1078 0.2500  2 Zr 3.27
13 I 0.8922 0.6078 0.2500  2 Zr 3.27
14 I 0.2880 0.4650 0.2538  2 Zr 2.89-2.92
15 I 0.5350 0.7120 0.2538  2 Zr 2.89-2.92
16 I 0.1497 0.8503 0.2575  2 Zr 2.94
17 I 0.6068 0.1444 0.4925  2 Zr 2.89-2.93
18 I 0.8556 0.3932 0.4925  2 Zr 2.89-2.93
19 I 0.2502 0.2502 0.5000  2 Zr 2.89
20 I 0.7498 0.7498 0.5000  2 Zr 2.89
21 I 0.1444 0.6068 0.5075  2 Zr 2.89-2.93
22 I 0.3932 0.8556 0.5075  2 Zr 2.89-2.93
23 I 0.8503 0.1497 0.7425  2 Zr 2.94
24 I 0.4650 0.2880 0.7462  2 Zr 2.89-2.92
25 I 0.7120 0.5350 0.7462  2 Zr 2.89-2.92
26 I 0.1078 0.3922 0.7500  2 Zr 3.27
27 I 0.6078 0.8922 0.7500  2 Zr 3.27
28 I 0.2120 0.0350 0.7538  2 Zr 2.89-2.92
29 I 0.9650 0.7880 0.7538  2 Zr 2.89-2.92
30 I 0.3503 0.6497 0.7575  2 Zr 2.94
31 I 0.6444 0.1068 0.9925  2 Zr 2.89-2.93
32 I 0.8932 0.3556 0.9925  2 Zr 2.89-2.93
33 Zr 0.8749 0.1251 0.0931  1 C 2.26
34 Zr 0.1632 0.0440 0.1064  1 C 2.36
35 Zr 0.9560 0.8368 0.1064  1 C 2.36
36 Zr 0.4560 0.3368 0.3936  1 C 2.36
37 Zr 0.6632 0.5440 0.3936  1 C 2.36
38 Zr 0.3749 0.6251 0.4069  1 C 2.26
39 Zr 0.6251 0.3749 0.5931  1 C 2.26
40 Zr 0.3368 0.4560 0.6064  1 C 2.36
41 Zr 0.5440 0.6632 0.6064  1 C 2.36
42 Zr 0.0440 0.1632 0.8936  1 C 2.36
43 Zr 0.8368 0.9560 0.8936  1 C 2.36
44 Zr 0.1251 0.8749 0.9069  1 C 2.26

SG ... Cmce
Energy ... -4.796 eV per atom

=====

Computed, not measured: a relaxed Hf4FeAsN2 crystal at the PBE level of DFT.

a = 3.2472 Å, b = 3.2472 Å, c = 12.9072 Å
α = 90.00°, β = 90.00°, γ = 120.00°
With the nearest neighbours (Å) after each atom.
Fractional coordinates of all 8 atoms:
1 As 0.0000 0.0000 0.0000  6 Hf 2.70
2 Fe 0.6667 0.3333 0.5000  6 Hf 2.69
3 Hf 0.6667 0.3333 0.1509  3 N 2.25
4 Hf 0.0000 0.0000 0.3503  3 N 2.29
5 Hf 0.0000 0.0000 0.6497  3 N 2.29
6 Hf 0.6667 0.3333 0.8491  3 N 2.25
7 N 0.3333 0.6667 0.2478  6 Hf 2.25-2.29
8 N 0.3333 0.6667 0.7522  6 Hf 2.25-2.29

SG ... P-6m2
Energy ... -9.682 eV per atom

=====

Computed, not measured: a relaxed MoSe2S2Br crystal at the PBE level of DFT.

a = 6.3134 Å, b = 8.0144 Å, c = 8.0150 Å
α = 106.84°, β = 113.17°, γ = 104.75°
With the nearest neighbours (Å) after each atom.
Fractional coordinates of all 12 atoms:
1 Br 0.1089 0.7636 0.3723  1 S 2.83, 1 Se 2.88
2 Br 0.8911 0.2364 0.6277  1 S 2.83, 1 Se 2.88
3 Mo 0.7795 0.0007 0.0002  4 S 2.42-2.43, 4 Se 2.64-2.67
4 Mo 0.2205 0.9993 0.9998  4 S 2.42-2.43, 4 Se 2.64-2.67
5 S 0.1712 0.2835 0.1573  1 S 2.15
6 S 0.1795 0.0926 0.2989  1 S 2.15
7 S 0.8205 0.9074 0.7011  1 S 2.15
8 S 0.8288 0.7165 0.8427  1 S 2.15
9 Se 0.4847 0.7965 0.0994  1 Se 2.39, 2 Mo 2.67
10 Se 0.7010 0.2481 0.2423  1 Se 2.39, 2 Mo 2.64
11 Se 0.2990 0.7519 0.7577  1 Se 2.39, 2 Mo 2.64
12 Se 0.5153 0.2035 0.9006  1 Se 2.39, 1 Mo 2.67

SG ... P-1
Energy above the lowest structure with this stoichiometry ... 0.55 kcal/mol of atoms

=====

Number 1: density 5096 kg/m3. Number 2: density 12296 kg/m3. Number 3: density 4078 kg/m3.